Record 1
# Li2PtW

A relaxed structure of Li2PtW (PBE, Alexandria via LeMat-Bulk).

```
4
Lattice="2.6351 0.0000 0.0000 0.0000 2.6351 0.0000 0.0000 0.0000 8.5732" Properties=species:S:1:pos:R:3 pbc="T T T"
W 1.3175 1.3175 6.4299
Li 0.0000 0.0000 4.0659
Li 0.0000 0.0000 0.2207
Pt 1.3175 1.3175 2.1433
```

Properties
magnetization: 0.0 μB per formula unit
VASP energy: -5.633 eV per atom
ΔE_f: 72.0 meV/atom
volume: 14.88 Å³ per atom

Record 2
# Al2Cu2Sn

A relaxed structure of Al2Cu2Sn (PBE, Alexandria via LeMat-Bulk).

```
5
Lattice="3.8044 0.0000 0.0000 0.0000 3.8044 0.0000 1.9022 1.9022 5.9972" Properties=species:S:1:pos:R:3 pbc="T T T"
Al 3.8044 3.8044 4.6586
Cu 3.8044 1.9022 2.9986
Cu 1.9022 3.8044 2.9986
Sn 0.0000 0.0000 0.0000
Al 1.9022 1.9022 1.3385
```

Properties
magnetization: 0.0 μB per formula unit
VASP energy: -3.848 eV per atom
ΔE_f: 88.1 meV/atom
volume: 17.36 Å³ per atom

Record 3
# Sm3Tm12Mg

A relaxed structure of Sm3Tm12Mg (PBE, Alexandria via LeMat-Bulk).

```
16
Lattice="4.9512 0.0000 0.0000 0.0000 4.9512 0.0000 0.0000 0.0000 19.8112" Properties=species:S:1:pos:R:3 pbc="T T T"
Sm 0.0000 0.0000 14.8922
Sm 0.0000 0.0000 9.9056
Tm 2.4756 2.4756 14.9606
Tm 2.4756 0.0000 7.3979
Tm 0.0000 2.4756 2.4191
Tm 2.4756 0.0000 17.3921
Mg 0.0000 0.0000 0.0000
Tm 0.0000 2.4756 7.3979
Tm 2.4756 0.0000 2.4191
Tm 2.4756 2.4756 9.9056
Sm 0.0000 0.0000 4.9190
Tm 0.0000 2.4756 12.4133
Tm 2.4756 2.4756 0.0000
Tm 0.0000 2.4756 17.3921
Tm 2.4756 0.0000 12.4133
Tm 2.4756 2.4756 4.8506
```

Properties
magnetization: 0.0 μB per formula unit
VASP energy: -4.312 eV per atom
ΔE_f: 26.5 meV/atom
volume: 30.35 Å³ per atom

Record 4
# Ca2HgRh

A relaxed structure of Ca2HgRh (PBE, Alexandria via LeMat-Bulk).

```
4
Lattice="-5.1834 -2.4976 -1.2760 -4.2146 -3.6611 1.8886 -3.6831 2.8614 2.1795" Properties=species:S:1:pos:R:3 pbc="T T T"
Rh -2.9975 -0.8053 0.6215
Hg -6.8824 -1.8630 1.4219
Ca -9.3118 -5.7685 0.7296
Ca -9.8280 -2.6676 2.0277
```

Properties
magnetization: 0.0 μB per formula unit
VASP energy: -3.244 eV per atom
ΔE_f: -329.4 meV/atom
volume: 24.10 Å³ per atom

Record 5
# TbPmAsPd

A relaxed structure of TbPmAsPd (PBE, Alexandria via LeMat-Bulk).

```
4
Lattice="5.0738 0.0000 0.0000 2.5369 4.3940 0.0000 2.5369 1.4647 4.1427" Properties=species:S:1:pos:R:3 pbc="T T T"
Pm 5.0738 2.9293 2.0714
As 2.5369 1.4647 1.0357
Pd 7.6106 4.3940 3.1070
Tb 0.0000 0.0000 0.0000
```

Properties
magnetization: 0.7 μB per formula unit
VASP energy: -5.693 eV per atom
ΔE_f: -886.7 meV/atom
volume: 23.09 Å³ per atom

Record 6
# Pm4Si2O

A relaxed structure of Pm4Si2O (PBE, Alexandria via LeMat-Bulk).

```
14
Lattice="-1.0707 -3.1013 -2.5694 -3.6545 -3.2149 5.4032 -9.6523 5.8548 -3.0447" Properties=species:S:1:pos:R:3 pbc="T T T"
O -4.8262 2.9274 -1.5223
Pm -6.2197 -1.0342 3.8400
Pm -7.0871 3.6741 -1.4814
Si -8.6413 1.1864 -1.2107
Si -5.7362 -1.6478 0.9998
Pm -10.0593 2.7611 0.8590
Pm -3.2475 -0.1213 1.4996
Si -11.6683 0.3067 1.1125
Si -2.7092 -0.7681 -1.3234
Pm -3.7528 -3.5880 2.5151
O -1.8272 -1.6075 2.7016
Pm -8.6930 -0.7609 1.1614
Pm -5.6844 0.2995 -1.3723
Pm -10.6247 3.1266 -2.7259
```

Properties
magnetization: 0.3 μB per formula unit
VASP energy: -6.028 eV per atom
raw formation energy: -1.06 eV per atom
volume: 25.31 Å³ per atom

Record 7
# Tb7SmHo12

A relaxed structure of Tb7SmHo12 (PBE, Alexandria via LeMat-Bulk).

```
20
Lattice="9.1539 0.0000 -3.2364 -4.5769 7.9275 -3.2364 0.0000 0.0000 9.7092" Properties=species:S:1:pos:R:3 pbc="T T T"
Ho 0.0030 3.9945 -0.0043
Tb -2.2885 3.9638 -1.6182
Ho 4.5739 3.9330 3.2407
Ho -3.4193 5.9329 0.0251
Ho 3.4284 5.9276 -0.0251
Ho -1.1191 5.9276 6.4685
Ho 3.4609 1.9946 0.0043
Ho 1.1486 1.9999 3.2615
Ho 2.2707 7.9223 -3.2113
Ho 1.1161 5.9329 3.2321
Tb 0.0000 0.0000 4.8546
Sm 0.0000 0.0000 0.0000
Tb 2.2885 3.9638 -3.2364
Tb 4.5769 0.0000 -1.6182
Ho 5.6961 1.9999 -3.2321
Tb 4.5769 0.0000 3.2364
Tb -2.2885 3.9638 3.2364
Tb 2.2885 3.9638 1.6182
Ho 7.9962 1.9946 3.2113
Ho 2.3062 0.0053 6.4477
```

Properties
magnetization: 0.0 μB per formula unit
VASP energy: -3.901 eV per atom
ΔE_f: 702.3 meV/atom
volume: 35.23 Å³ per atom

Record 8
# ZrZnAgPd

A relaxed structure of ZrZnAgPd (PBE, Alexandria via LeMat-Bulk).

```
4
Lattice="-3.3311 1.6217 2.7602 -3.1173 -2.8933 1.8044 0.0774 -0.9532 4.5200" Properties=species:S:1:pos:R:3 pbc="T T T"
Pd -4.7782 -1.6686 6.8134
Zr 0.0000 0.0000 0.0000
Ag -1.5927 -0.5562 2.2711
Zn -3.1855 -1.1124 4.5423
```

Properties
magnetization: 0.0 μB per formula unit
VASP energy: -4.790 eV per atom
ΔE_f: -323.8 meV/atom
volume: 17.43 Å³ per atom